CsTaNO2 GGA-PBE optimized geometry; M_tot = 0.00 μB per cell; E_tot = -20.40 eV per cell; SG = No. 123; E_form (uncorrected) = 2.1097 eV/atom
1.0
4.299 0.000 0.000
0.000 4.299 0.000
0.000 0.000 4.710
Cs Ta N O
1 1 1 2
direct
0.000 0.000 0.000
0.500 0.500 0.500
0.000 0.000 0.500
0.000 0.500 0.000
0.500 0.000 0.000